# SCAN LiSc2Se, PBEsol geometry
data_LiSc2Se
_chemical_formula_sum 'Li3 Sc6 Se3'
_cell_length_a 3.5083
_cell_length_b 3.5083
_cell_length_c 28.0731
_cell_angle_alpha 90.00
_cell_angle_beta 90.00
_cell_angle_gamma 120.00
_symmetry_space_group_name_H-M 'R -3 m'
_symmetry_Int_Tables_number 166
_symmetry_space_group_name_Hall '-R 3 2"'
loop_
_atom_site_label
_atom_site_type_symbol
_atom_site_fract_x
_atom_site_fract_y
_atom_site_fract_z
_atom_site_occupancy
Li1 Li 0.0000 0.0000 0.0000 1
Sc1 Sc 0.0000 0.0000 0.1086 1
Se1 Se 0.0000 0.0000 0.5000 1
# V ... 299.24 Å³ per cell
# E ... -13.279 eV per atom
# Total moment ... 0.1 μB per formula unit

# SCAN LiScSe2, PBEsol geometry
data_LiScSe2
_chemical_formula_sum 'Li2 Sc2 Se4'
_cell_length_a 3.7339
_cell_length_b 3.4643
_cell_length_c 12.8300
_cell_angle_alpha 90.00
_cell_angle_beta 90.00
_cell_angle_gamma 90.00
_symmetry_space_group_name_H-M 'A m m 2'
_symmetry_Int_Tables_number 38
_symmetry_space_group_name_Hall 'A 2 -2'
loop_
_atom_site_label
_atom_site_type_symbol
_atom_site_fract_x
_atom_site_fract_y
_atom_site_fract_z
_atom_site_occupancy
Li1 Li 0.0000 0.0000 0.0000 1
Sc1 Sc 0.5000 0.0000 0.2203 1
Se1 Se 0.0000 0.0000 0.8011 1
Se2 Se 0.5000 0.0000 0.5640 1
# V ... 165.96 Å³ per cell
# E ... -15.821 eV per atom
# Total moment ... 0.0 μB per formula unit

# SCAN LiSc2Se, PBEsol geometry
data_LiSc2Se
_chemical_formula_sum 'Li4 Sc8 Se4'
_cell_length_a 6.7259
_cell_length_b 6.7259
_cell_length_c 6.7259
_cell_angle_alpha 90.00
_cell_angle_beta 90.00
_cell_angle_gamma 90.00
_symmetry_space_group_name_H-M 'F -4 3 m'
_symmetry_Int_Tables_number 216
_symmetry_space_group_name_Hall 'F -4 2 3'
loop_
_atom_site_label
_atom_site_type_symbol
_atom_site_fract_x
_atom_site_fract_y
_atom_site_fract_z
_atom_site_occupancy
Li1 Li 0.0000 0.0000 0.0000 1
Sc1 Sc 0.0000 0.0000 0.5000 1
Sc2 Sc 0.2500 0.2500 0.2500 1
Se1 Se 0.2500 0.2500 0.7500 1
# V ... 304.27 Å³ per cell
# E ... -12.713 eV per atom
# Total moment ... 0.0 μB per formula unit

# SCAN LiScSe2, PBEsol geometry
data_LiScSe2
_chemical_formula_sum 'Li1 Sc1 Se2'
_cell_length_a 3.8443
_cell_length_b 3.8443
_cell_length_c 5.2609
_cell_angle_alpha 90.00
_cell_angle_beta 90.00
_cell_angle_gamma 90.00
_symmetry_space_group_name_H-M 'P 4 m m'
_symmetry_Int_Tables_number 99
_symmetry_space_group_name_Hall 'P 4 -2'
loop_
_atom_site_label
_atom_site_type_symbol
_atom_site_fract_x
_atom_site_fract_y
_atom_site_fract_z
_atom_site_occupancy
Li1 Li 0.0000 0.0000 0.0000 1
Sc1 Sc 0.5000 0.5000 0.4989 1
Se1 Se 0.0000 0.0000 0.4996 1
Se2 Se 0.5000 0.5000 0.9992 1
# V ... 77.75 Å³ per cell
# E ... -15.883 eV per atom
# Total moment ... 0.0 μB per formula unit

# SCAN LiSc2Si, PBEsol geometry
data_LiSc2Si
_chemical_formula_sum 'Li1 Sc2 Si1'
_cell_length_a 3.0686
_cell_length_b 3.7643
_cell_length_c 6.3437
_cell_angle_alpha 90.00
_cell_angle_beta 90.00
_cell_angle_gamma 90.00
_symmetry_space_group_name_H-M 'P m m m'
_symmetry_Int_Tables_number 47
_symmetry_space_group_name_Hall '-P 2 2'
loop_
_atom_site_label
_atom_site_type_symbol
_atom_site_fract_x
_atom_site_fract_y
_atom_site_fract_z
_atom_site_occupancy
Li1 Li 0.0000 0.0000 0.0000 1
Sc1 Sc 0.5000 0.5000 0.2682 1
Si1 Si 0.0000 0.0000 0.5000 1
# V ... 73.28 Å³ per cell
# E ... -10.499 eV per atom
# Total moment ... 0.6 μB per formula unit

# SCAN Li2ScSi2, PBEsol geometry
data_Li2ScSi2
_chemical_formula_sum 'Li4 Sc2 Si4'
_cell_length_a 3.7414
_cell_length_b 3.7414
_cell_length_c 11.3814
_cell_angle_alpha 90.00
_cell_angle_beta 90.00
_cell_angle_gamma 90.00
_symmetry_space_group_name_H-M 'I 4/m m m'
_symmetry_Int_Tables_number 139
_symmetry_space_group_name_Hall '-I 4 2'
loop_
_atom_site_label
_atom_site_type_symbol
_atom_site_fract_x
_atom_site_fract_y
_atom_site_fract_z
_atom_site_occupancy
Li1 Li 0.0000 0.5000 0.2500 1
Sc1 Sc 0.0000 0.0000 0.0000 1
Si1 Si 0.0000 0.0000 0.4003 1
# V ... 159.32 Å³ per cell
# E ... -8.228 eV per atom
# Total moment ... 0.0 μB per formula unit